This record from the Alexandria database describes crystalline HfSbPbO6 at its relaxed geometry. The functional is PBE-GGA.

The structure in POSCAR format:
```
HfSbPbO6
1.0
5.481 0.000 0.000
-2.740 4.746 0.000
0.000 0.000 9.902
Hf Sb Pb O
2 2 2 12
Direct
0.667 0.333 0.250
0.333 0.667 0.750
0.333 0.667 0.250
0.667 0.333 0.750
0.000 0.000 0.000
0.000 0.000 0.500
0.628 0.638 0.140
0.011 0.372 0.140
0.372 0.011 0.640
0.989 0.628 0.860
0.362 0.372 0.360
0.011 0.638 0.360
0.638 0.011 0.860
0.628 0.989 0.360
0.989 0.362 0.640
0.362 0.989 0.140
0.638 0.628 0.640
0.372 0.362 0.860
```

calculated volume	128.8	Å³/f.u.
total energy	-7.215	eV/atom
formation energy from raw total energies	-1679	kJ/mol of formula units